{"formula": "CoAgBr2N", "functional": "meta-GGA SCAN", "state": "PBEsol geometry", "formation_energy_uncorrected_mev_per_atom": 263, "lattice_angstrom": [[5.0506, 0.0000, 0.0000], [0.0000, 5.0506, 0.0000], [0.0000, 0.0000, 3.3937]], "species": ["Co", "Ag", "Br", "Br", "N"], "fractional_positions": [[0.0000, 0.0000, 0.0000], [0.5000, 0.5000, 0.5000], [0.0000, 0.5000, 0.0000], [0.5000, 0.0000, 0.0000], [0.0000, 0.0000, 0.5000]]}